# K2CdGe4Pt3 | the Alexandria database | PBE-GGA | relaxed
data_K2CdGe4Pt3
_chemical_formula_sum 'K2 Cd1 Ge4 Pt3'
_space_group_name_H-M_alt 'P -4 m 2'
_space_group_IT_number 115
_space_group_name_Hall 'P -4 -2'
_cell_length_a 4.557
_cell_length_b 4.557
_cell_length_c 10.324
_cell_angle_alpha 90.00
_cell_angle_beta 90.00
_cell_angle_gamma 90.00
loop_
_atom_site_label
_atom_site_type_symbol
_atom_site_fract_x
_atom_site_fract_y
_atom_site_fract_z
K1 K 0.000 0.500 0.246
Cd1 Cd 0.000 0.000 0.500
Ge1 Ge 0.000 0.000 0.000
Ge2 Ge 0.000 0.500 0.639
Ge3 Ge 0.500 0.500 0.000
Pt1 Pt 0.000 0.500 0.885
Pt2 Pt 0.500 0.500 0.500
# Formation energy in eV/atom: -0.326